Entry 1:
# MgTaSe2 PBE-GGA optimized geometry
data_MgTaSe2
_chemical_formula_sum 'Mg2 Ta2 Se4'
_cell_length_a 3.6510
_cell_length_b 4.9020
_cell_length_c 10.2089
_cell_angle_alpha 90.00
_cell_angle_beta 90.00
_cell_angle_gamma 90.00
_space_group_name_H-M_alt 'C m m 2'
_space_group_IT_number 35
loop_
_space_group_symop_operation_xyz
'x,y,z'
'-x,-y,z'
'-x,y,z'
'x,-y,z'
'x+1/2,y+1/2,z'
'-x+1/2,-y+1/2,z'
'-x+1/2,y+1/2,z'
'x+1/2,-y+1/2,z'
loop_
_atom_site_label
_atom_site_fract_x
_atom_site_fract_y
_atom_site_fract_z
Mg1 0.0000 0.0000 0.0000
Ta1 0.0000 0.5000 0.7686
Se1 0.0000 0.0000 0.5910
Se2 0.0000 0.5000 0.1909
# **Energy relative to the elements, uncorrected**: -0.1620 eV/atom

Entry 2:
# Cd2HgTe PBE-GGA optimized geometry
data_Cd2HgTe
_chemical_formula_sum 'Cd4 Hg2 Te2'
_cell_length_a 7.6179
_cell_length_b 4.5004
_cell_length_c 7.0290
_cell_angle_alpha 90.00
_cell_angle_beta 112.22
_cell_angle_gamma 90.00
_space_group_name_H-M_alt 'C 1 2/m 1'
_space_group_IT_number 12
loop_
_space_group_symop_operation_xyz
'x,y,z'
'-x,-y,-z'
'-x,y,-z'
'x,-y,z'
'x+1/2,y+1/2,z'
'-x+1/2,-y+1/2,-z'
'-x+1/2,y+1/2,-z'
'x+1/2,-y+1/2,z'
loop_
_atom_site_label
_atom_site_fract_x
_atom_site_fract_y
_atom_site_fract_z
Cd1 0.2464 0.0000 0.2420
Hg1 0.0000 0.5000 0.0000
Te1 0.0000 0.0000 0.5000
# **Energy relative to the elements, uncorrected**: -0.1026 eV/atom

Entry 3:
# PrPaAu2 PBE-GGA optimized geometry
data_PrPaAu2
_chemical_formula_sum 'Pr1 Pa1 Au2'
_cell_length_a 3.3522
_cell_length_b 3.3522
_cell_length_c 8.5629
_cell_angle_alpha 90.00
_cell_angle_beta 90.00
_cell_angle_gamma 90.00
_space_group_name_H-M_alt 'P 4/m m m'
_space_group_IT_number 123
_space_group_name_Hall '-P 4 2'
loop_
_atom_site_label
_atom_site_fract_x
_atom_site_fract_y
_atom_site_fract_z
Pr1 0.0000 0.0000 0.0000
Pa1 0.0000 0.0000 0.5000
Au1 0.5000 0.5000 0.2614
# **Energy of formation**: -41.4 kJ per mole of atoms

The following total energy values (in eV/atom) correspond, in order, to the records above: -5.266 -1.421 -5.637.
The following ρ values (in g/cm3) correspond, in order, to the records above: 6.60 8.23 13.22.